# NbReAsOs2

An optimized crystal structure of NbReAsOs2 (PBE, Alexandria via LeMat-Bulk).

Unit cell a=4.723 b=4.602 c=4.723 alpha=90.00 beta=90.00 gamma=90.00
Fractional positions:
Re 0.000 0.000 0.000
Nb 0.500 0.500 0.500
Os 0.000 0.000 0.500
Os 0.500 0.000 0.000
As 0.000 0.500 0.000

The density comes out at 11.88 Mg/m³. As for the formation energy: 1.750 eV/atom. Its size of the total moment is 0.0 μB/f.u. The total DFT energy (no corrections) is -40.88 eV/cell.


# Nb2AsOsSe

An optimized crystal structure of Nb2AsOsSe (PBE, Alexandria via LeMat-Bulk).

Unit cell a=5.024 b=4.480 c=5.024 alpha=90.00 beta=90.00 gamma=90.00
Fractional positions:
Nb 0.000 0.000 0.500
Nb 0.500 0.000 0.000
Os 0.000 0.000 0.000
As 0.500 0.500 0.500
Se 0.000 0.500 0.000

The density comes out at 7.78 Mg/m³. Its size of the total moment is 0.0 μB/f.u. The formation energy from raw total energies is 1.010 eV/atom. The total DFT energy (no corrections) is -34.45 eV/cell.


# SrNbAs2Os

An optimized crystal structure of SrNbAs2Os (PBE, Alexandria via LeMat-Bulk).

Unit cell a=5.049 b=4.886 c=5.049 alpha=90.00 beta=90.00 gamma=90.00
Fractional positions:
Sr 0.500 0.500 0.500
Nb 0.000 0.000 0.000
Os 0.000 0.500 0.000
As 0.000 0.000 0.500
As 0.500 0.000 0.000

The density comes out at 6.94 Mg/m³. As for the formation energy: 0.307 eV/atom. Its size of the total moment is 0.4 μB/f.u. The total DFT energy (no corrections) is -30.75 eV/cell.


# NbAsOsW2

An optimized crystal structure of NbAsOsW2 (PBE, Alexandria via LeMat-Bulk).

Unit cell a=4.771 b=4.862 c=4.771 alpha=90.00 beta=90.00 gamma=90.00
Fractional positions:
Nb 0.000 0.500 0.000
Os 0.000 0.000 0.000
As 0.500 0.500 0.500
W 0.000 0.000 0.500
W 0.500 0.000 0.000

The density comes out at 10.89 Mg/m³. As for the formation energy: 1.659 eV/atom. Its size of the total moment is 0.0 μB/f.u. The total DFT energy (no corrections) is -43.56 eV/cell.


> Look up the total DFT energy (no corrections) of the fourth one.

-43.56 eV/cell


> Which of these has the highest size of the total moment?

SrNbAs2Os


> Which value of total DFT energy (no corrections) does entry 3 give?

-30.75 eV/cell